No. 1
The following is a DFT calculation (GGA-PBE) of a relaxed HfZn6Au12 crystal.

Lattice parameters (Å, degrees): 11.5038 11.5038 9.2076 90.00 90.00 120.00
Space group R-3 (No. 148, hexagonal axes)
Asymmetric unit:
1 Hf 0.0000 0.0000 0.0000 x3
2 Zn 0.0350 0.8884 0.7111 x18
3 Au 0.0625 0.5975 0.6266 x18
4 Au 0.0662 0.5855 0.1173 x18

Summary:
* raw total energy: -177.9 eV for the cell shown
* ΔE_f: -0.125 eV/atom
* total magnetization: 0.0 μB per formula unit


No. 2
The following is a DFT calculation (GGA-PBE) of a relaxed ReSiNO2 crystal.

Lattice parameters (Å, degrees): 3.887 3.887 3.955 90.00 90.00 90.00
Space group P4/mmm (No. 123)
Asymmetric unit:
1 Re 0.000 0.000 0.000 x1
2 Si 0.500 0.500 0.500 x1
3 N 0.000 0.000 0.500 x1
4 O 0.000 0.500 0.000 x2

Summary:
* raw total energy: -37.2 eV for the cell shown
* total magnetization: 0.0 μB per formula unit


No. 3
The following is a DFT calculation (GGA-PBE) of a relaxed Cs3US4 crystal.

Lattice parameters (Å, degrees): 9.518 14.064 4.299 90.00 90.00 90.00
Space group Cmmm (No. 65)
Asymmetric unit:
1 Cs 0.000 0.000 0.000 x2
2 Cs 0.250 0.250 0.500 x4
3 U 0.000 0.500 0.000 x2
4 S 0.000 0.321 0.000 x4
5 S 0.187 0.500 0.500 x4

Summary:
* raw total energy: -81.1 eV for the cell shown
* polymorph energy (0 for the lowest one): 0.000 eV per atom
* total magnetization: 1.0 μB per formula unit


No. 4
The following is a DFT calculation (GGA-PBE) of a relaxed BaCaLaPm crystal.

Lattice parameters (Å, degrees): 8.760 8.760 8.760 90.00 90.00 90.00
Space group F-43m (No. 216)
Asymmetric unit:
1 Ba 0.000 0.000 0.000 x4
2 Ca 0.250 0.250 0.750 x4
3 La 0.000 0.000 0.500 x4
4 Pm 0.250 0.250 0.250 x4

Summary:
* raw total energy: -51.5 eV for the cell shown
* ΔE_f: 0.183 eV/atom
* total magnetization: 0.0 μB per formula unit


No. 5
The following is a DFT calculation (GGA-PBE) of a relaxed Cd4RhBr crystal.

Lattice parameters (Å, degrees): 8.110 8.110 8.110 90.00 90.00 90.00
Space group F-43m (No. 216)
Asymmetric unit:
1 Cd 0.124 0.124 0.124 x16
2 Rh 0.250 0.250 0.750 x4
3 Br 0.000 0.000 0.500 x4

Summary:
* raw total energy: -43.0 eV for the cell shown
* total magnetization: 0.0 μB per formula unit


No. 6
The following is a DFT calculation (GGA-PBE) of a relaxed Ba5Li2Ca5 crystal.

Lattice parameters (Å, degrees): 6.137 9.939 10.701 70.30 73.35 72.04
Space group P-1 (No. 2)
Asymmetric unit:
1 Ba 0.000 0.000 0.000 x1
2 Ba 0.115 0.573 0.196 x2
3 Ba 0.164 0.171 0.501 x2
4 Li 0.353 0.265 0.028 x2
5 Ca 0.244 0.742 0.770 x2
6 Ca 0.427 0.912 0.234 x2
7 Ca 0.500 0.500 0.500 x1

Summary:
* raw total energy: -22.6 eV for the cell shown
* ΔE_f: 0.067 eV/atom
* total magnetization: 0.0 μB per formula unit


Please write out number 3 again, unchanged.
The following is a DFT calculation (GGA-PBE) of a relaxed Cs3US4 crystal.

Lattice parameters (Å, degrees): 9.518 14.064 4.299 90.00 90.00 90.00
Space group Cmmm (No. 65)
Asymmetric unit:
1 Cs 0.000 0.000 0.000 x2
2 Cs 0.250 0.250 0.500 x4
3 U 0.000 0.500 0.000 x2
4 S 0.000 0.321 0.000 x4
5 S 0.187 0.500 0.500 x4

Summary:
* raw total energy: -81.1 eV for the cell shown
* polymorph energy (0 for the lowest one): 0.000 eV per atom
* total magnetization: 1.0 μB per formula unit